Below is crystalline TbNd6Mg at its relaxed geometry, with properties calculated at the GGA-PBE level.

It has space group P-1 (No. 2), with a = 6.501 Å, b = 6.501 Å, c = 6.510 Å, α = 96.67°, β = 96.68° and γ = 96.86°. The inequivalent atoms are Tb at (0.000, 0.000, 0.000), Nd at (0.030, 0.262, 0.556), Nd at (0.262, 0.555, 0.031), Nd at (0.445, 0.969, 0.738) and Mg at (0.500, 0.500, 0.500).

For the offset from the most stable computed form, the calculation gives 7.7 kJ/mol of atoms.